# 1
Nd2DyErIn2: optimized geometry, PBE-GGA.

Summary:
**Energy**: -52.54 eV/cell
**Calculated formation energy**: -33.7 kJ/mol of atoms
**V**: 356.74 Å³ per cell

Unit cell a=5.2500 b=9.9860 c=6.8045 alpha=90.00 beta=90.00 gamma=90.00
Last column: nearest neighbours and their distance in Å.
Space group Pmc2_1 (No. 26)
Inequivalent atoms, fractional coordinates:
1 Nd 0.0000 0.0382 0.0000 x2  5 In 3.32-3.68, 4 Nd 3.49-3.54, 1 Er 3.69
2 Nd 0.5000 0.1812 0.2777 x2  5 In 3.25-3.58, 2 Nd 3.54
3 Dy 0.5000 0.4626 0.9322 x2  5 In 3.27-3.58, 2 Dy 3.48, 2 Er 3.52
4 Er 0.0000 0.3230 0.6550 x2  4 In 3.12-3.26
5 In 0.0000 0.3650 0.1798 x2  2 Er 3.12-3.26, 2 Dy 3.27, 3 Nd 3.27-3.49
6 In 0.5000 0.1535 0.7538 x2  2 Er 3.19, 5 Nd 3.25-3.58, 1 Dy 3.32



# 2
KNbF5: optimized geometry, PBE-GGA.

Summary:
**Energy**: -165.26 eV/cell
**Uncorrected formation energy**: -2.970 eV per atom
**V**: 549.49 Å³ per cell

Unit cell a=9.7516 b=7.3236 c=8.2922 alpha=90.00 beta=111.90 gamma=90.00
Last column: nearest neighbours and their distance in Å.
Space group C2/c (No. 15)
Inequivalent atoms, fractional coordinates:
1 K 0.0000 0.0067 0.2500 x4  6 F 2.60-2.69
2 Nb 0.0000 0.5000 0.0000 x4  6 F 1.96-2.07
3 F 0.0000 0.4914 0.2500 x4  2 Nb 2.07
4 F 0.0267 0.2297 0.0049 x8  1 Nb 2.00
5 F 0.2148 0.4608 0.5971 x8  1 Nb 1.96



# 3
Sr3Ti2CuO8: optimized geometry, PBE-GGA.

Summary:
**Energy**: -101.01 eV/cell
**Uncorrected formation energy**: -2.601 eV per atom
**V**: 201.69 Å³ per cell

Unit cell a=5.6827 b=5.6827 c=7.2119 alpha=90.00 beta=90.00 gamma=120.00
Last column: nearest neighbours and their distance in Å.
Space group P-3m1 (No. 164)
Inequivalent atoms, fractional coordinates:
1 Sr 0.0000 0.0000 0.0000 x1  6 O 2.80
2 Sr 0.3333 0.6667 0.6392 x2  1 O 2.31
3 Ti 0.3333 0.6667 0.2080 x2  4 O 1.79-1.83
4 Cu 0.0000 0.0000 0.5000 x1  6 O 2.10
5 O 0.1649 0.3298 0.3159 x6  1 Ti 1.83
6 O 0.3333 0.6667 0.9600 x2  1 Ti 1.79



# 4
PmPr3Ru: optimized geometry, PBE-GGA.

Summary:
**Energy**: -116.21 eV/cell
**Calculated formation energy**: -13.3 kJ/mol of atoms
**V**: 658.95 Å³ per cell
**Energy above the lowest structure with this stoichiometry**: 0.0 meV/atom

Unit cell a=12.1835 b=8.8529 c=8.5172 alpha=90.00 beta=134.17 gamma=90.00
Last column: nearest neighbours and their distance in Å.
Space group C2/m (No. 12)
Inequivalent atoms, fractional coordinates:
1 Pm 0.0480 0.0000 0.2514 x4  1 Ru 2.70
2 Pr 0.0492 0.5000 0.3417 x4  1 Ru 2.74
3 Pr 0.2485 0.1997 0.7918 x8  1 Ru 2.73
4 Ru 0.2488 0.0000 0.1331 x4  1 Pm 2.70, 3 Pr 2.73-2.74



# 5
NbZn2ReSe: optimized geometry, PBE-GGA.

Summary:
**Energy**: -21.93 eV/cell
**Uncorrected formation energy**: 1.323 eV per atom
**V**: 98.66 Å³ per cell

Unit cell a=4.6496 b=4.6496 c=4.5635 alpha=90.00 beta=90.00 gamma=90.00
Last column: nearest neighbours and their distance in Å.
Space group P4/mmm (No. 123)
Inequivalent atoms, fractional coordinates:
1 Nb 0.0000 0.0000 0.0000 x1  8 Zn 3.26, 4 Re 3.29
2 Zn 0.0000 0.5000 0.5000 x2  2 Se 2.32
3 Re 0.5000 0.5000 0.0000 x1  2 Se 2.28
4 Se 0.5000 0.5000 0.5000 x1  2 Re 2.28, 4 Zn 2.32



# 6
Rb2UTeI5: optimized geometry, PBE-GGA.

Summary:
**Energy**: -66.70 eV/cell
**Uncorrected formation energy**: -1.026 eV per atom
**V**: 846.56 Å³ per cell

Unit cell a=8.3716 b=8.3716 c=12.0793 alpha=90.00 beta=90.00 gamma=90.00
Last column: nearest neighbours and their distance in Å.
Space group I4mm (No. 107)
Inequivalent atoms, fractional coordinates:
1 Rb 0.0000 0.5000 0.0000 x4  2 Te 4.19, 10 I 4.19-4.26
2 U 0.0000 0.0000 0.2378 x2  1 Te 2.81, 5 I 2.98-3.02
3 Te 0.0000 0.0000 0.0048 x2  1 U 2.81
4 I 0.0000 0.0000 0.4881 x2  1 U 3.02
5 I 0.2482 0.2482 0.7464 x8  1 U 2.98



# 7
Er8CdIn5: optimized geometry, PBE-GGA.

Summary:
**Energy**: -109.49 eV/cell
**Calculated formation energy**: -25.1 kJ/mol of atoms
**V**: 789.18 Å³ per cell

Unit cell a=9.2263 b=9.2263 c=9.2710 alpha=90.00 beta=90.00 gamma=90.00
Last column: nearest neighbours and their distance in Å.
Space group I-4 (No. 82)
Inequivalent atoms, fractional coordinates:
1 Er 0.0724 0.3275 0.0435 x8  5 In 3.11-3.31, 1 Cd 3.12, 1 Er 3.45
2 Er 0.0789 0.1782 0.6909 x8  5 In 3.10-3.27, 1 Cd 3.38
3 Cd 0.0000 0.0000 0.0000 x2  8 Er 3.12-3.38
4 In 0.0000 0.5000 0.7500 x2  8 Er 3.11-3.22
5 In 0.1268 0.2508 0.3674 x8  8 Er 3.10-3.31



# 8
Pm5GaNi4: optimized geometry, PBE-GGA.

Summary:
**Energy**: -53.00 eV/cell
**Calculated formation energy**: -29.8 kJ/mol of atoms
**V**: 216.50 Å³ per cell

Unit cell a=3.4975 b=3.4975 c=17.6989 alpha=90.00 beta=90.00 gamma=90.00
Last column: nearest neighbours and their distance in Å.
Space group P4/mmm (No. 123)
Inequivalent atoms, fractional coordinates:
1 Pm 0.0000 0.0000 0.0000 x1  8 Ni 3.01
2 Pm 0.0000 0.0000 0.1945 x2  8 Ni 3.00-3.02
3 Pm 0.0000 0.0000 0.3889 x2  4 Ni 3.02, 4 Ga 3.16
4 Ga 0.5000 0.5000 0.5000 x1  8 Pm 3.16, 4 Ga 3.50
5 Ni 0.5000 0.5000 0.0966 x2  8 Pm 3.01-3.02
6 Ni 0.5000 0.5000 0.2906 x2  8 Pm 3.00-3.02



# 9
Li2PtW: optimized geometry, PBE-GGA.

Summary:
**Energy**: -83.83 eV/cell
**Calculated formation energy**: 45.0 kJ/mol of atoms
**V**: 208.45 Å³ per cell
**Energy above the lowest structure with this stoichiometry**: 516.3 meV/atom

Unit cell a=5.9292 b=5.9292 c=5.9292 alpha=90.00 beta=90.00 gamma=90.00
Last column: nearest neighbours and their distance in Å.
Space group Fm-3m (No. 225)
Inequivalent atoms, fractional coordinates:
1 Li 0.2500 0.2500 0.2500 x8  4 W 2.57, 4 Pt 2.57
2 Pt 0.0000 0.0000 0.0000 x4  8 Li 2.57
3 W 0.0000 0.0000 0.5000 x4  8 Li 2.57



# 10
SrAuBr: optimized geometry, PBE-GGA.

Summary:
**Energy**: -40.82 eV/cell
**Uncorrected formation energy**: -1.191 eV per atom
**V**: 409.45 Å³ per cell
**Energy above the lowest structure with this stoichiometry**: 168.8 meV/atom

Unit cell a=7.4257 b=7.4257 c=7.4257 alpha=90.00 beta=90.00 gamma=90.00
Last column: nearest neighbours and their distance in Å.
Space group F-43m (No. 216)
Inequivalent atoms, fractional coordinates:
1 Sr 0.0000 0.0000 0.0000 x4  4 Br 3.22, 4 Au 3.22
2 Au 0.2500 0.2500 0.2500 x4  4 Sr 3.22
3 Br 0.2500 0.2500 0.7500 x4  4 Sr 3.22



# 11
AcTl3Hg: optimized geometry, PBE-GGA.

Summary:
**Energy**: -49.85 eV/cell
**Calculated formation energy**: -18.4 kJ/mol of atoms
**V**: 623.00 Å³ per cell

Unit cell a=12.6950 b=4.9530 c=9.9080 alpha=90.00 beta=90.00 gamma=90.00
Last column: nearest neighbours and their distance in Å.
Space group Pnma (No. 62)
Inequivalent atoms, fractional coordinates:
1 Ac 0.2471 0.2500 0.0247 x4  3 Hg 3.39-3.42, 7 Tl 3.58-3.74
2 Tl 0.0501 0.2500 0.4114 x4  1 Hg 3.15, 5 Tl 3.25-3.29
3 Tl 0.0621 0.7500 0.8882 x4  2 Hg 3.21, 4 Tl 3.24-3.40
4 Tl 0.1045 0.7500 0.2108 x4  2 Hg 3.20-3.25, 5 Tl 3.24-3.40, 2 Ac 3.58
5 Hg 0.1397 0.2500 0.7078 x4  5 Tl 3.15-3.25, 3 Ac 3.39-3.42



# 12
Sm3Dy6TmTh2: optimized geometry, PBE-GGA.

Summary:
**Energy**: -121.71 eV/cell
**Calculated formation energy**: 1.8 kJ/mol of atoms
**V**: 767.66 Å³ per cell

Unit cell a=6.1804 b=10.6971 c=11.7935 alpha=90.00 beta=100.08 gamma=90.00
Last column: nearest neighbours and their distance in Å.
Space group C2/m (No. 12)
Inequivalent atoms, fractional coordinates:
1 Sm 0.0000 0.0000 0.0000 x2  6 Sm 3.57, 6 Dy 3.59-3.61
2 Sm 0.0000 0.3335 0.0000 x4  6 Sm 3.56-3.57, 6 Dy 3.59-3.61
3 Dy 0.2453 0.0000 0.7460 x4  2 Th 3.51, 1 Tm 3.53, 6 Dy 3.55-3.60, 3 Sm 3.59-3.60
4 Dy 0.2499 0.1682 0.2544 x8  2 Th 3.51, 1 Tm 3.53, 6 Dy 3.55-3.60, 3 Sm 3.59-3.61
5 Tm 0.0000 0.5000 0.5000 x2  6 Dy 3.53, 6 Th 3.57
6 Th 0.0000 0.1666 0.5000 x4  6 Dy 3.51, 3 Th 3.56-3.57, 3 Tm 3.57



# 13
CaCeTa4N8: optimized geometry, PBE-GGA.

Summary:
**Energy**: -410.57 eV/cell
**Uncorrected formation energy**: -1.065 eV per atom
**V**: 577.87 Å³ per cell

Unit cell a=6.3467 b=6.3467 c=16.5653 alpha=90.00 beta=90.00 gamma=120.00
Last column: nearest neighbours and their distance in Å.
Space group R3m (No. 160, hexagonal axes)
Inequivalent atoms, fractional coordinates:
1 Ca 0.0000 0.0000 0.0000 x3  4 N 2.26-2.34
2 Ce 0.0000 0.0000 0.6263 x3  6 N 2.30-2.39
3 Ta 0.0000 0.0000 0.2506 x3  4 N 1.97-2.19
4 Ta 0.1735 0.3470 0.4576 x9  3 N 2.02-2.09
5 N 0.0000 0.0000 0.3825 x3  4 Ta 2.19-2.28
6 N 0.0000 0.0000 0.8589 x3  3 Ta 2.09, 1 Ca 2.34
7 N 0.0053 0.5027 0.8690 x9  1 Ta 1.97
8 N 0.0386 0.5193 0.3914 x9  2 Ta 2.02



# 14
LiAgPd2C: optimized geometry, PBE-GGA.

Summary:
**Energy**: -16.59 eV/cell
**Calculated formation energy**: 150.2 kJ/mol of atoms
**V**: 77.68 Å³ per cell

Unit cell a=4.2338 b=4.2338 c=4.3337 alpha=90.00 beta=90.00 gamma=90.00
Last column: nearest neighbours and their distance in Å.
Space group P4/mmm (No. 123)
Inequivalent atoms, fractional coordinates:
1 Li 0.0000 0.0000 0.0000 x1  4 Pd 2.12, 2 Ag 2.17
2 Ag 0.0000 0.0000 0.5000 x1  2 Li 2.17
3 Pd 0.0000 0.5000 0.0000 x2  2 Li 2.12
4 C 0.5000 0.5000 0.5000 x1  4 Ag 2.99, 8 Pd 3.03



# 15
Ac4YHo: optimized geometry, PBE-GGA.

Summary:
**Energy**: -26.49 eV/cell
**Calculated formation energy**: 15.8 kJ/mol of atoms
**V**: 244.87 Å³ per cell
**Energy above the lowest structure with this stoichiometry**: 0.0 meV/atom

Unit cell a=3.7269 b=5.8731 c=11.1870 alpha=90.00 beta=90.00 gamma=90.00
Last column: nearest neighbours and their distance in Å.
Space group Pmmm (No. 47)
Inequivalent atoms, fractional coordinates:
1 Ac 0.0000 0.0000 0.1575 x2  5 Ac 3.52-3.73, 4 Ho 3.90
2 Ac 0.0000 0.5000 0.3415 x2  5 Ac 3.55-3.73, 4 Y 3.90
3 Y 0.5000 0.0000 0.5000 x1  2 Y 3.73, 8 Ac 3.90
4 Ho 0.5000 0.5000 0.0000 x1  2 Ho 3.73, 8 Ac 3.90



# 16
CuPd7Pt3: optimized geometry, PBE-GGA.

Summary:
**Energy**: -58.09 eV/cell
**Calculated formation energy**: 4.2 kJ/mol of atoms
**V**: 176.30 Å³ per cell

Unit cell a=5.5084 b=5.5084 c=6.7091 alpha=90.00 beta=90.00 gamma=120.00
Last column: nearest neighbours and their distance in Å.
Space group P3m1 (No. 156)
Inequivalent atoms, fractional coordinates:
1 Cu 0.0000 0.0000 0.0000 x1  3 Pt 2.72, 9 Pd 2.75-2.76
2 Pd 0.3333 0.6667 0.6634 x1  3 Pt 2.75, 9 Pd 2.75-2.79
3 Pd 0.3352 0.1676 0.6645 x3  8 Pd 2.74-2.77, 2 Pt 2.75, 1 Cu 2.76
4 Pd 0.5022 0.0044 0.0038 x3  2 Pt 2.71, 7 Pd 2.72-2.79, 2 Cu 2.75
5 Pt 0.1653 0.3306 0.3296 x3  5 Pd 2.71-2.75, 1 Cu 2.72, 4 Pt 2.73-2.78



# 17
SmEuCdSn: optimized geometry, PBE-GGA.

Summary:
**Energy**: -88.00 eV/cell
**Calculated formation energy**: -50.4 kJ/mol of atoms
**V**: 460.99 Å³ per cell

Unit cell a=7.7250 b=7.7250 c=7.7250 alpha=90.00 beta=90.00 gamma=90.00
Last column: nearest neighbours and their distance in Å.
Space group F-43m (No. 216)
Inequivalent atoms, fractional coordinates:
1 Sm 0.0000 0.0000 0.0000 x4  4 Cd 3.35, 4 Sn 3.35
2 Eu 0.0000 0.0000 0.5000 x4  4 Cd 3.35, 4 Sn 3.35
3 Cd 0.2500 0.2500 0.2500 x4  4 Sm 3.35, 4 Eu 3.35
4 Sn 0.2500 0.2500 0.7500 x4  4 Sm 3.35, 4 Eu 3.35



# 18
Co2IrRh3: optimized geometry, PBE-GGA.

Summary:
**Energy**: -84.55 eV/cell
**Calculated formation energy**: 45.9 kJ/mol of atoms
**V**: 183.16 Å³ per cell

Unit cell a=5.6791 b=5.6791 c=5.6791 alpha=90.00 beta=90.00 gamma=90.00
Last column: nearest neighbours and their distance in Å.
Space group Pn-3m (No. 224, origin choice 2)
Inequivalent atoms, fractional coordinates:
1 Co 0.0000 0.0000 0.0000 x4  6 Rh 2.46, 2 Ir 2.46
2 Ir 0.2500 0.2500 0.2500 x2  4 Co 2.46
3 Rh 0.2500 0.2500 0.7500 x6  4 Co 2.46



# 19
LiSmSnCl6: optimized geometry, PBE-GGA.

Summary:
**Energy**: -74.57 eV/cell
**Uncorrected formation energy**: -1.730 eV per atom
**V**: 500.64 Å³ per cell

Unit cell a=6.7951 b=6.7951 c=12.5200 alpha=90.00 beta=90.00 gamma=120.00
Last column: nearest neighbours and their distance in Å.
Space group P-31c (No. 163)
Inequivalent atoms, fractional coordinates:
1 Li 0.3333 0.6667 0.2500 x2  6 Cl 2.62
2 Sm 0.3333 0.6667 0.7500 x2  6 Cl 2.72
3 Sn 0.0000 0.0000 0.0000 x2  6 Cl 2.89
4 Cl 0.0112 0.3550 0.1309 x12  1 Li 2.62, 1 Sm 2.72, 1 Sn 2.89



# 20
TiIn3Pt: optimized geometry, PBE-GGA.

Summary:
**Energy**: -20.16 eV/cell
**Calculated formation energy**: 38.4 kJ/mol of atoms
**V**: 133.44 Å³ per cell
**Energy above the lowest structure with this stoichiometry**: 0.0 meV/atom

Unit cell a=5.1100 b=5.1100 c=5.1100 alpha=90.00 beta=90.00 gamma=90.00
Last column: nearest neighbours and their distance in Å.
Space group Pm-3m (No. 221)
Inequivalent atoms, fractional coordinates:
1 Ti 0.0000 0.0000 0.0000 x1  12 In 3.61
2 In 0.0000 0.5000 0.5000 x3  2 Pt 2.56
3 Pt 0.5000 0.5000 0.5000 x1  6 In 2.56



# 21
Nb3ZnH: optimized geometry, PBE-GGA.

Summary:
**Energy**: -69.76 eV/cell
**V**: 144.58 Å³ per cell
**Energy above the lowest structure with this stoichiometry**: 66.4 meV/atom

Unit cell a=2.9035 b=8.7593 c=5.7570 alpha=90.00 beta=99.09 gamma=90.00
Last column: nearest neighbours and their distance in Å.
Space group P2_1/m (No. 11)
Inequivalent atoms, fractional coordinates:
1 Nb 0.0680 0.0274 0.2679 x4  2 H 2.09-2.15
2 Nb 0.3449 0.2500 0.9692 x2  2 H 2.24
3 Zn 0.3791 0.7500 0.4814 x2  8 Nb 2.78-3.07, 2 Zn 2.90
4 H 0.5000 0.0000 0.0000 x2  6 Nb 2.09-2.24